Below is crystalline NdPuAlAg at its relaxed geometry, with properties calculated at the PBE-GGA level.

Lattice parameters (Å, degrees): 5.244 5.244 5.244 60.00 60.00 60.00
Each line ends with the local moment (μB).
Sites, in units of the cell vectors:
1 Nd 0.000 0.000 0.000  0.13
2 Al 0.750 0.750 0.750  -0.01
3 Ag 0.250 0.250 0.250  0.05
4 Pu 0.500 0.500 0.500  5.42

## Properties
* DOS at the Fermi energy: 9.98 states/eV/f.u.
* DFT formation energy: -83 meV/atom
* mass density: 8.52 g/cm³